[1]
{"formula": "CeEu2H", "functional": "PBE", "state": "optimized geometry", "lattice_angstrom": [[-1.945, 2.710, -0.504], [-1.121, -0.214, 3.175], [6.839, 5.425, 2.779]], "species": ["H", "Eu", "Ce", "Eu"], "frac_coords": [[0.500, 0.500, 0.000], [0.000, 0.000, 0.818], [0.500, 0.500, 0.500], [0.000, 0.000, 0.182]], "crystal_system": "tetragonal", "energy_ev_per_cell": -29.33, "space_group": "No. 123", "polymorph_energy_mev_per_atom": 189.3, "magmom_total_mub_per_cell": 15.646}

[2]
{"formula": "Th4AlAu", "functional": "PBE", "state": "optimized geometry", "lattice_angstrom": [[7.464, 0.000, 0.000], [0.000, 7.464, 0.000], [-3.732, -3.732, 6.140]], "species": ["Th", "Th", "Au", "Th", "Th", "Th", "Th", "Al", "Th", "Al", "Th", "Au"], "frac_coords": [[0.976, 0.788, 0.265], [0.024, 0.212, 0.735], [0.750, 0.750, 0.500], [0.288, 0.476, 0.265], [0.212, 0.712, 0.735], [0.524, 0.024, 0.735], [0.712, 0.524, 0.735], [0.500, 0.500, 0.000], [0.788, 0.288, 0.265], [0.000, 0.000, 0.000], [0.476, 0.976, 0.265], [0.250, 0.250, 0.500]], "formation_enthalpy_0k_ev_per_atom": -0.19, "crystal_system": "tetragonal", "energy_ev_per_cell": -75.64, "space_group": "No. 140", "polymorph_energy_mev_per_atom": 139.4, "magmom_total_mub_per_cell": 0.000}

[3]
{"formula": "ThIn4Ni4", "functional": "PBE", "state": "optimized geometry", "lattice_angstrom": [[5.132, 0.000, 0.000], [0.000, 8.430, 0.000], [0.000, 0.000, 8.430]], "species": ["Ni", "In", "In", "In", "In", "Ni", "In", "In", "In", "Ni", "Ni", "Ni", "Ni", "Ni", "In", "Ni", "Th", "Th"], "frac_coords": [[0.898, 0.717, 0.141], [0.600, 0.898, 0.662], [0.100, 0.838, 0.398], [0.400, 0.662, 0.102], [0.600, 0.102, 0.338], [0.602, 0.217, 0.641], [0.100, 0.162, 0.602], [0.900, 0.398, 0.162], [0.900, 0.602, 0.838], [0.602, 0.783, 0.359], [0.398, 0.359, 0.217], [0.102, 0.141, 0.283], [0.398, 0.641, 0.783], [0.898, 0.283, 0.859], [0.400, 0.338, 0.898], [0.102, 0.859, 0.717], [0.500, 0.500, 0.500], [0.000, 0.000, 0.000]], "formation_enthalpy_0k_ev_per_atom": -0.07, "crystal_system": "tetragonal", "energy_ev_per_cell": -84.34, "space_group": "No. 86", "magmom_total_mub_per_cell": 0.000}

[4]
{"formula": "NbAlAu2", "functional": "PBE", "state": "optimized geometry", "lattice_angstrom": [[-0.097, 0.640, 2.966], [-0.663, -2.900, 0.604], [7.230, -1.535, 0.569]], "species": ["Nb", "Al", "Au", "Au"], "frac_coords": [[0.500, 0.500, 0.500], [0.500, 0.500, 0.000], [0.000, 0.000, 0.771], [0.000, 0.000, 0.229]], "formation_enthalpy_0k_ev_per_atom": -0.25, "crystal_system": "tetragonal", "energy_ev_per_cell": -21.36, "space_group": "No. 123", "magmom_total_mub_per_cell": 0.000}

[5]
{"formula": "ZrMn2Hg2", "functional": "PBE", "state": "optimized geometry", "lattice_angstrom": [[7.569, 0.000, 0.000], [0.000, 7.569, 0.000], [0.000, 0.000, 3.309]], "species": ["Hg", "Mn", "Hg", "Zr", "Zr", "Hg", "Hg", "Mn", "Mn", "Mn"], "frac_coords": [[0.166, 0.666, 0.500], [0.366, 0.866, 0.000], [0.834, 0.334, 0.500], [0.000, 0.000, 0.000], [0.500, 0.500, 0.000], [0.666, 0.834, 0.500], [0.334, 0.166, 0.500], [0.866, 0.634, 0.000], [0.134, 0.366, 0.000], [0.634, 0.134, 0.000]], "formation_enthalpy_0k_ev_per_atom": 0.27, "crystal_system": "tetragonal", "energy_ev_per_cell": -52.32, "space_group": "No. 127", "polymorph_energy_mev_per_atom": 0.0, "magmom_total_mub_per_cell": 12.640}

[6]
{"formula": "AcGeRh", "functional": "PBE", "state": "optimized geometry", "lattice_angstrom": [[4.456, 0.000, 0.000], [0.000, 5.707, 0.000], [0.000, 0.000, 11.477]], "species": ["Ge", "Ac", "Rh", "Ge", "Ac", "Ac", "Rh", "Rh", "Rh", "Ac", "Ge", "Ge"], "frac_coords": [[0.750, 0.132, 0.141], [0.750, 0.863, 0.635], [0.750, 0.870, 0.951], [0.250, 0.368, 0.641], [0.250, 0.137, 0.365], [0.250, 0.637, 0.135], [0.750, 0.370, 0.549], [0.250, 0.130, 0.049], [0.250, 0.630, 0.451], [0.750, 0.363, 0.865], [0.750, 0.632, 0.359], [0.250, 0.868, 0.859]], "formation_enthalpy_0k_ev_per_atom": -0.82, "crystal_system": "orthorhombic", "energy_ev_per_cell": -74.12, "space_group": "No. 62", "polymorph_energy_mev_per_atom": 43.5, "magmom_total_mub_per_cell": 0.000}

[7]
{"formula": "LiP2Br", "functional": "PBE", "state": "optimized geometry", "lattice_angstrom": [[-1.217, 1.707, -2.861], [-1.824, -2.890, -0.948], [-13.883, 4.492, 6.386]], "species": ["P", "Br", "P", "Li", "P", "P", "Li", "Br"], "frac_coords": [[0.875, 0.443, 0.750], [0.000, 0.000, 0.000], [0.193, 0.125, 0.250], [0.500, 0.500, 0.000], [0.375, 0.807, 0.750], [0.557, 0.625, 0.250], [0.250, 0.750, 0.500], [0.750, 0.250, 0.500]], "crystal_system": "tetragonal", "e_form_raw_ev_per_atom": -0.40, "energy_ev_per_cell": -31.99, "space_group": "No. 122", "polymorph_energy_mev_per_atom": 101.1, "magmom_total_mub_per_cell": 0.000}

[8]
{"formula": "Tb2Nd7Sm", "functional": "PBE", "state": "optimized geometry", "lattice_angstrom": [[-2.215, -2.622, -0.787], [1.419, 1.864, -10.200], [7.111, -6.973, 3.215]], "species": ["Nd", "Tb", "Nd", "Nd", "Nd", "Sm", "Nd", "Nd", "Tb", "Nd"], "frac_coords": [[0.500, 0.874, 0.615], [0.500, 0.168, 0.832], [0.500, 0.500, 0.500], [0.500, 0.126, 0.385], [0.500, 0.615, 0.874], [0.000, 0.000, 0.000], [0.000, 0.677, 0.323], [0.000, 0.323, 0.677], [0.500, 0.832, 0.168], [0.500, 0.385, 0.126]], "formation_enthalpy_0k_ev_per_atom": 0.37, "crystal_system": "orthorhombic", "energy_ev_per_cell": -43.62, "space_group": "No. 65", "polymorph_energy_mev_per_atom": 0.0, "magmom_total_mub_per_cell": 0.000}

[9]
{"formula": "NaAs3Rh", "functional": "PBE", "state": "optimized geometry", "lattice_angstrom": [[4.900, 0.000, 0.000], [0.000, 4.900, 0.000], [0.000, 0.000, 4.900]], "species": ["As", "Na", "As", "Rh", "As"], "frac_coords": [[0.000, 0.500, 0.000], [0.500, 0.500, 0.500], [0.500, 0.000, 0.000], [0.000, 0.000, 0.000], [0.000, 0.000, 0.500]], "formation_enthalpy_0k_ev_per_atom": 0.20, "crystal_system": "cubic", "energy_ev_per_cell": -21.63, "space_group": "No. 221", "polymorph_energy_mev_per_atom": 0.0, "magmom_total_mub_per_cell": 0.000}

[10]
{"formula": "MgMnCl", "functional": "PBE", "state": "optimized geometry", "lattice_angstrom": [[-4.717, 0.754, -0.340], [-2.499, -2.025, -3.548], [-3.067, -3.552, 0.955]], "species": ["Cl", "Mg", "Mn"], "frac_coords": [[0.500, 0.500, 0.500], [0.750, 0.750, 0.750], [0.000, 0.000, 0.000]], "crystal_system": "cubic", "e_form_raw_ev_per_atom": 0.43, "energy_ev_per_cell": -11.31, "space_group": "No. 216", "polymorph_energy_mev_per_atom": 674.9, "magmom_total_mub_per_cell": 4.187}

[11]
{"formula": "ZrNbSb2C", "functional": "PBE", "state": "optimized geometry", "lattice_angstrom": [[4.895, 0.000, 0.000], [0.000, 4.117, 0.000], [0.000, 0.000, 4.895]], "species": ["Sb", "Nb", "Zr", "C", "Sb"], "frac_coords": [[0.000, 0.000, 0.500], [0.000, 0.500, 0.000], [0.500, 0.500, 0.500], [0.000, 0.000, 0.000], [0.500, 0.000, 0.000]], "crystal_system": "tetragonal", "e_form_raw_ev_per_atom": 0.35, "energy_ev_per_cell": -34.32, "space_group": "No. 123", "magmom_total_mub_per_cell": 0.000}

[12]
{"formula": "Tl2ReOs", "functional": "PBE", "state": "optimized geometry", "lattice_angstrom": [[3.060, 0.000, 0.000], [0.000, 5.215, 0.000], [0.000, 0.000, 4.725]], "species": ["Tl", "Tl", "Os", "Re"], "frac_coords": [[0.500, 0.500, 0.000], [0.000, 0.000, 0.000], [0.500, 0.000, 0.500], [0.000, 0.500, 0.500]], "formation_enthalpy_0k_ev_per_atom": 1.24, "crystal_system": "orthorhombic", "energy_ev_per_cell": -23.44, "space_group": "No. 47", "polymorph_energy_mev_per_atom": 727.8, "magmom_total_mub_per_cell": 0.966}